*one*
K3Rb3Na after structural relaxation, computed with PBE.

Results
Its symmetry is Pm-3n, No. 223. As for the magnetization: 0.000 μB per atom.

Cell: 11.6221 11.6221 11.6221 Å, 90.00 90.00 90.00°
With the nearest neighbours (Å) after each atom.
Fractional positions:
K: 0.0000 0.2500 0.5000  4 Rb 4.11
K: 0.0000 0.7500 0.5000  4 Rb 4.11
K: 0.2500 0.5000 0.0000  4 Rb 4.11
K: 0.5000 0.0000 0.2500  4 Rb 4.11
K: 0.5000 0.0000 0.7500  4 Rb 4.11
K: 0.7500 0.5000 0.0000  4 Rb 4.11
Rb: 0.0000 0.5000 0.2500  4 K 4.11
Rb: 0.0000 0.5000 0.7500  4 K 4.11
Rb: 0.2500 0.0000 0.5000  4 K 4.11
Rb: 0.5000 0.2500 0.0000  4 K 4.11
Rb: 0.5000 0.7500 0.0000  4 K 4.11
Rb: 0.7500 0.0000 0.5000  4 K 4.11
Na: 0.0000 0.0000 0.0000  none within 6
Na: 0.5000 0.5000 0.5000  none within 6

*two*
K3Rb3Na after structural relaxation, computed with PBE.

Results
Its symmetry is P2_1/m, No. 11. As for the magnetization: 0.000 μB per atom.

Cell: 12.2705 7.6837 12.4851 Å, 90.00 118.91 90.00°
With the nearest neighbours (Å) after each atom.
Fractional positions:
K: 0.0591 0.2500 0.2405  5 Rb 4.50-4.90, 6 K 4.66-4.78, 1 Na 4.73
K: 0.1746 0.2500 0.9338  1 Na 4.56, 5 Rb 4.58-5.05, 6 K 4.66-4.73
K: 0.2529 0.7500 0.1769  1 Na 4.51, 5 Rb 4.54-4.95, 6 K 4.70-4.78
K: 0.7471 0.2500 0.8231  1 Na 4.51, 5 Rb 4.54-4.95, 6 K 4.70-4.78
K: 0.8254 0.7500 0.0662  1 Na 4.56, 5 Rb 4.58-5.05, 6 K 4.66-4.73
K: 0.9409 0.7500 0.7595  5 Rb 4.50-4.90, 6 K 4.66-4.78, 1 Na 4.73
Rb: 0.0986 0.7500 0.4771  5 K 4.58-4.95, 3 Na 4.67-4.69, 4 Rb 4.67-4.72
Rb: 0.3884 0.7500 0.8965  5 K 4.54-4.90, 4 Rb 4.62-4.70, 3 Na 4.63-4.83
Rb: 0.4738 0.2500 0.3882  4 K 4.50-4.81, 3 Na 4.60-4.76, 4 Rb 4.61-4.67
Rb: 0.5262 0.7500 0.6118  4 K 4.50-4.81, 3 Na 4.60-4.76, 4 Rb 4.61-4.67
Rb: 0.6116 0.2500 0.1035  5 K 4.54-4.90, 4 Rb 4.62-4.70, 3 Na 4.63-4.83
Rb: 0.9014 0.2500 0.5229  5 K 4.58-4.95, 3 Na 4.67-4.69, 4 Rb 4.67-4.72
Na: 0.3305 0.2500 0.6677  3 K 4.51-4.73, 9 Rb 4.60-4.83
Na: 0.6695 0.7500 0.3323  3 K 4.51-4.73, 9 Rb 4.60-4.83

Q: Which of them is the most stable? A: *two*.

*one*
K10RbNa2 after structural relaxation, computed with PBE.

Results
Its symmetry is Cmcm, No. 63. As for the magnetization: 0.000 μB per atom.

Cell: 11.1828 11.1828 14.4421 Å, 90.00 90.00 97.77°
With the nearest neighbours (Å) after each atom.
Fractional positions:
K: 0.0342 0.2632 0.7500  5 K 4.37-4.59, 2 Na 4.52
K: 0.0808 0.3778 0.2500  2 Na 4.01, 5 K 4.36-4.47
K: 0.1173 0.8827 0.5618  6 K 4.34-4.72, 2 Na 4.39
K: 0.1173 0.8827 0.9382  6 K 4.34-4.72, 2 Na 4.39
K: 0.2632 0.0342 0.2500  5 K 4.37-4.59, 2 Na 4.52
K: 0.2850 0.2850 0.0000  2 Na 4.24, 8 K 4.39-4.72
K: 0.2850 0.2850 0.5000  2 Na 4.24, 8 K 4.39-4.72
K: 0.3382 0.6618 0.0942  2 Na 4.19, 6 K 4.35-4.58
K: 0.3382 0.6618 0.4058  2 Na 4.19, 6 K 4.35-4.58
K: 0.3778 0.0808 0.7500  2 Na 4.01, 5 K 4.36-4.47
K: 0.6222 0.9192 0.2500  2 Na 4.01, 5 K 4.36-4.47
K: 0.6618 0.3382 0.5942  2 Na 4.19, 6 K 4.35-4.58
K: 0.6618 0.3382 0.9058  2 Na 4.19, 6 K 4.35-4.58
K: 0.7150 0.7150 0.0000  2 Na 4.24, 8 K 4.39-4.72
K: 0.7150 0.7150 0.5000  2 Na 4.24, 8 K 4.39-4.72
K: 0.7368 0.9658 0.7500  5 K 4.37-4.59, 2 Na 4.52
K: 0.8827 0.1173 0.0618  6 K 4.34-4.72, 2 Na 4.39
K: 0.8827 0.1173 0.4382  6 K 4.34-4.72, 2 Na 4.39
K: 0.9192 0.6222 0.7500  2 Na 4.01, 5 K 4.36-4.47
K: 0.9658 0.7368 0.2500  5 K 4.37-4.59, 2 Na 4.52
Rb: 0.3808 0.6192 0.7500  14 K 5.02-5.24, 4 Na 5.60
Rb: 0.6192 0.3808 0.2500  14 K 5.02-5.24, 4 Na 5.60
Na: 0.0000 0.5000 0.0000  8 K 4.01-4.39
Na: 0.0000 0.5000 0.5000  8 K 4.01-4.39
Na: 0.5000 0.0000 0.0000  8 K 4.01-4.39
Na: 0.5000 0.0000 0.5000  8 K 4.01-4.39

*two*
K10RbNa2 after structural relaxation, computed with PBE.

Results
Its symmetry is Fmmm, No. 69. As for the magnetization: 0.000 μB per atom.

Cell: 14.8815 11.2965 11.2648 Å, 82.54 48.82 48.64°
With the nearest neighbours (Å) after each atom.
Fractional positions:
K: 0.0000 0.0000 0.5000  6 K 4.06-4.41
K: 0.0099 0.2114 0.7886  2 Na 4.15, 6 K 4.23-4.59
K: 0.1502 0.4859 0.5141  2 Na 4.32, 6 K 4.49-4.67
K: 0.2114 0.0099 0.9901  2 Na 4.15, 6 K 4.23-4.59
K: 0.4859 0.1502 0.8498  2 Na 4.32, 6 K 4.49-4.67
K: 0.5000 0.5000 0.0000  6 K 4.06-4.41
K: 0.5141 0.8498 0.1502  2 Na 4.32, 6 K 4.49-4.67
K: 0.7886 0.9901 0.0099  2 Na 4.15, 6 K 4.23-4.59
K: 0.8498 0.5141 0.4859  2 Na 4.32, 6 K 4.49-4.67
K: 0.9901 0.7886 0.2114  2 Na 4.15, 6 K 4.23-4.59
Rb: 0.5000 0.5000 0.5000  16 K 5.14-5.63, 4 Na 5.65
Na: 0.0000 0.5000 0.0000  2 Na 4.06, 8 K 4.15-4.32
Na: 0.5000 0.0000 0.5000  2 Na 4.06, 8 K 4.15-4.32

Q: Which of them is the most stable? A: *one*.

*one*
KRb3Na after structural relaxation, computed with PBE.

Results
Its symmetry is Pm-3m, No. 221. As for the magnetization: 0.000 μB per atom.

Cell: 7.5904 7.5904 7.5904 Å, 90.00 90.00 90.00°
With the nearest neighbours (Å) after each atom.
Fractional positions:
K: 0.0000 0.0000 0.0000  12 Rb 5.37
Rb: 0.0000 0.5000 0.5000  2 Na 3.80
Rb: 0.5000 0.0000 0.5000  2 Na 3.80
Rb: 0.5000 0.5000 0.0000  2 Na 3.80
Na: 0.5000 0.5000 0.5000  6 Rb 3.80

*two*
KRb3Na after structural relaxation, computed with PBE.

Results
Its symmetry is Pm-3m, No. 221. As for the magnetization: 0.000 μB per atom.

Cell: 7.9042 7.9042 7.9042 Å, 90.00 90.00 90.00°
With the nearest neighbours (Å) after each atom.
Fractional positions:
K: 0.0000 0.0000 0.0000  6 Rb 3.95
Rb: 0.0000 0.0000 0.5000  2 K 3.95
Rb: 0.0000 0.5000 0.0000  2 K 3.95
Rb: 0.5000 0.0000 0.0000  2 K 3.95
Na: 0.5000 0.5000 0.5000  12 Rb 5.59

*three*
KRb3Na after structural relaxation, computed with PBE.

Results
Its symmetry is C2/c, No. 15. As for the magnetization: 0.000 μB per atom.

Cell: 13.6040 13.6040 8.4780 Å, 100.40 100.40 87.51°
With the nearest neighbours (Å) after each atom.
Fractional positions:
K: 0.0537 0.1555 0.4831  4 K 4.61-4.94, 6 Rb 4.64-4.96
K: 0.1555 0.0537 0.9831  4 K 4.61-4.94, 6 Rb 4.64-4.96
K: 0.8445 0.9463 0.0169  4 K 4.61-4.94, 6 Rb 4.64-4.96
K: 0.9463 0.8445 0.5169  4 K 4.61-4.94, 6 Rb 4.64-4.96
Rb: 0.1217 0.7143 0.9691  2 Na 4.61-4.63, 3 K 4.64-4.84, 6 Rb 4.71-5.13
Rb: 0.1339 0.5278 0.3896  2 Na 4.30-4.32, 2 Rb 4.53-4.71
Rb: 0.2506 0.3713 0.8932  2 Na 4.20-4.25, 1 K 4.64
Rb: 0.2857 0.8783 0.5309  2 Na 4.61-4.63, 3 K 4.64-4.84, 6 Rb 4.71-5.13
Rb: 0.3713 0.2506 0.3932  2 Na 4.20-4.25, 1 K 4.64
Rb: 0.4722 0.8661 0.1104  2 Na 4.30-4.32, 2 Rb 4.53-4.71
Rb: 0.5278 0.1339 0.8896  2 Na 4.30-4.32, 2 Rb 4.53-4.71
Rb: 0.6287 0.7494 0.6068  2 Na 4.20-4.25, 1 K 4.64
Rb: 0.7143 0.1217 0.4691  2 Na 4.61-4.63, 3 K 4.64-4.84, 6 Rb 4.71-5.13
Rb: 0.7494 0.6287 0.1068  2 Na 4.20-4.25, 1 K 4.64
Rb: 0.8661 0.4722 0.6104  2 Na 4.30-4.32, 2 Rb 4.53-4.71
Rb: 0.8783 0.2857 0.0309  2 Na 4.61-4.63, 3 K 4.64-4.84, 6 Rb 4.71-5.13
Na: 0.4005 0.5995 0.7500  1 Na 3.57
Na: 0.4100 0.5900 0.2500  1 Na 3.57
Na: 0.5900 0.4100 0.7500  1 Na 3.57
Na: 0.5995 0.4005 0.2500  1 Na 3.57

Q: Which of them is the most stable? A: *three*.

*one*
K8RbNa6 after structural relaxation, computed with PBE.

Results
Its symmetry is R-3, No. 148. As for the magnetization: 0.000 μB per atom.

Cell: 10.5403 10.5403 10.5403 Å, 65.87 65.87 65.87°
With the nearest neighbours (Å) after each atom.
Fractional positions:
K: 0.0874 0.6863 0.3573  4 Na 4.02-4.45, 3 K 4.43
K: 0.2179 0.2179 0.2179  6 Na 3.92-4.11
K: 0.3137 0.6427 0.9126  4 Na 4.02-4.45, 3 K 4.43
K: 0.3573 0.0874 0.6863  4 Na 4.02-4.45, 3 K 4.43
K: 0.6427 0.9126 0.3137  4 Na 4.02-4.45, 3 K 4.43
K: 0.6863 0.3573 0.0874  4 Na 4.02-4.45, 3 K 4.43
K: 0.7821 0.7821 0.7821  6 Na 3.92-4.11
K: 0.9126 0.3137 0.6427  4 Na 4.02-4.45, 3 K 4.43
Rb: 0.5000 0.5000 0.5000  6 Na 4.21, 6 K 4.58
Na: 0.1160 0.4372 0.8316  1 Na 3.80, 4 K 3.92-4.11, 1 Rb 4.21
Na: 0.1684 0.8840 0.5628  1 Na 3.80, 4 K 3.92-4.11, 1 Rb 4.21
Na: 0.4372 0.8316 0.1160  1 Na 3.80, 4 K 3.92-4.11, 1 Rb 4.21
Na: 0.5628 0.1684 0.8840  1 Na 3.80, 4 K 3.92-4.11, 1 Rb 4.21
Na: 0.8316 0.1160 0.4372  1 Na 3.80, 4 K 3.92-4.11, 1 Rb 4.21
Na: 0.8840 0.5628 0.1684  1 Na 3.80, 4 K 3.92-4.11, 1 Rb 4.21

*two*
K8RbNa6 after structural relaxation, computed with PBE.

Results
Its symmetry is R-3, No. 148. As for the magnetization: 0.000 μB per atom.

Cell: 10.0057 10.0057 10.0057 Å, 72.53 72.53 72.53°
With the nearest neighbours (Å) after each atom.
Fractional positions:
K: 0.1080 0.1080 0.1080  6 Na 3.99-4.30
K: 0.1198 0.5588 0.2673  3 Na 3.94-4.09
K: 0.2673 0.1198 0.5588  3 Na 3.94-4.09
K: 0.4412 0.7327 0.8802  3 Na 3.94-4.09
K: 0.5588 0.2673 0.1198  3 Na 3.94-4.09
K: 0.7327 0.8802 0.4412  3 Na 3.94-4.09
K: 0.8802 0.4412 0.7327  3 Na 3.94-4.09
K: 0.8920 0.8920 0.8920  6 Na 3.99-4.30
Rb: 0.5000 0.5000 0.5000  6 Na 4.03
Na: 0.1319 0.8076 0.5154  5 K 3.94-4.30, 3 Na 3.94-4.07, 1 Rb 4.03
Na: 0.1924 0.4846 0.8681  5 K 3.94-4.30, 3 Na 3.94-4.07, 1 Rb 4.03
Na: 0.4846 0.8681 0.1924  5 K 3.94-4.30, 3 Na 3.94-4.07, 1 Rb 4.03
Na: 0.5154 0.1319 0.8076  5 K 3.94-4.30, 3 Na 3.94-4.07, 1 Rb 4.03
Na: 0.8076 0.5154 0.1319  5 K 3.94-4.30, 3 Na 3.94-4.07, 1 Rb 4.03
Na: 0.8681 0.1924 0.4846  5 K 3.94-4.30, 3 Na 3.94-4.07, 1 Rb 4.03

Q: Which of them is the most stable? A: *two*.